Entry 1:
# Li2AcDy2Pb2

An optimized crystal structure of Li2AcDy2Pb2 (PBE-GGA, the Alexandria database).

Geometry as CIF:
```
data_Li2AcDy2Pb2
_symmetry_space_group_name_H-M 'R -3 m'
_symmetry_Int_Tables_number 166
_symmetry_space_group_name_Hall '-R 3 2"'
_cell_length_a 4.9330
_cell_length_b 4.9330
_cell_length_c 28.1072
_cell_angle_alpha 90.00
_cell_angle_beta 90.00
_cell_angle_gamma 120.00
loop_
_atom_site_label
_atom_site_type_symbol
_atom_site_fract_x
_atom_site_fract_y
_atom_site_fract_z
_atom_site_occupancy
Li1 Li 0.0000 0.0000 0.0777 1
Ac1 Ac 0.0000 0.0000 0.5000 1
Dy1 Dy 0.0000 0.0000 0.3674 1
Pb1 Pb 0.0000 0.0000 0.2439 1
```

Calculated values
Its crystal system is trigonal.

Entry 2:
# Li3Ac2DyPb4

An optimized crystal structure of Li3Ac2DyPb4 (PBE-GGA, the Alexandria database).

Geometry as CIF:
```
data_Li3Ac2DyPb4
_symmetry_space_group_name_H-M 'P -4 m 2'
_symmetry_Int_Tables_number 115
_symmetry_space_group_name_Hall 'P -4 -2'
_cell_length_a 4.823
_cell_length_b 4.823
_cell_length_c 12.170
_cell_angle_alpha 90.00
_cell_angle_beta 90.00
_cell_angle_gamma 90.00
loop_
_atom_site_label
_atom_site_type_symbol
_atom_site_fract_x
_atom_site_fract_y
_atom_site_fract_z
_atom_site_occupancy
Li1 Li 0.000 0.000 0.000 1
Li2 Li 0.000 0.500 0.625 1
Ac1 Ac 0.000 0.500 0.269 1
Dy1 Dy 0.500 0.500 0.000 1
Pb1 Pb 0.000 0.000 0.500 1
Pb2 Pb 0.000 0.500 0.847 1
Pb3 Pb 0.500 0.500 0.500 1
```

Calculated values
Its crystal system is tetragonal.

Energy of formation: -0.3374, -0.4768 (eV/atom)
Calculated total energy: -3.85, -3.82 (eV per atom)
Size of the total moment: 0.000, 0.000 (μB per atom)